Record 1
Material: Sr4Pa3TaN8
Method: DFT, PBE-GGA
State: relaxed

The structure belongs to space group R-3m (No. 166, hexagonal axes); the cell edges are 7.0378, 7.0378 and 17.8944 Å and the angles 90.00°, 90.00° and 120.00°. The distinct sites, in fractional coordinates, are Sr at (0.0000, 0.0000, 0.0000), Sr at (0.0000, 0.5000, 0.0000), Pa at (0.0000, 0.5000, 0.5000), Ta at (0.0000, 0.0000, 0.5000), N at (0.0000, 0.0000, 0.2319) and N at (0.0143, 0.5072, 0.2306).

The total energy comes out at -401.32 eV/cell.

---

Record 2
Material: ScCdSb2
Method: DFT, PBE-GGA
State: relaxed

The structure belongs to space group R3m (No. 160, hexagonal axes); the cell edges are 4.4122, 4.4122 and 19.3623 Å and the angles 90.00°, 90.00° and 120.00°. The distinct sites, in fractional coordinates, are Sc at (0.0000, 0.0000, 0.0000), Cd at (0.0000, 0.0000, 0.8320), Sb at (0.0000, 0.0000, 0.4111) and Sb at (0.0000, 0.0000, 0.5894).

The total energy comes out at -50.43 eV/cell.

---

Record 3
Material: Pr3Pd3Pb
Method: DFT, PBE-GGA
State: relaxed

The structure belongs to space group P6_3/m (No. 176); the cell edges are 9.0667, 9.0667 and 5.8482 Å and the angles 90.00°, 90.00° and 120.00°. The distinct sites, in fractional coordinates, are Pr at (0.0355, 0.3476, 0.2500), Pd at (0.0283, 0.3513, 0.7500) and Pb at (0.3333, 0.6667, 0.7500).

The calculation puts the energy of formation at -0.47 eV per atom.

---

Record 4
Material: CeMg5Cu2
Method: DFT, PBE-GGA
State: relaxed

The structure belongs to space group Immm (No. 71); the cell edges are 4.248, 8.108 and 9.984 Å and the angles 90.00°, 90.00° and 90.00°. The distinct sites, in fractional coordinates, are Ce at (0.000, 0.000, 0.000), Mg at (0.000, 0.187, 0.342), Mg at (0.000, 0.500, 0.000) and Cu at (0.000, 0.500, 0.268).

The calculation puts the energy of formation at -0.06 eV per atom.

---

Record 5
Material: AlRuW3
Method: DFT, PBE-GGA
State: relaxed

The structure belongs to space group Pm-3m (No. 221); the cell edges are 4.687, 4.687 and 4.687 Å and the angles 90.00°, 90.00° and 90.00°. The distinct sites, in fractional coordinates, are Al at (0.000, 0.000, 0.000), Ru at (0.500, 0.500, 0.500) and W at (0.000, 0.500, 0.500).

The calculation puts the energy of formation at 1.83 eV per atom.

---

Record 6
Material: LiCu5O8
Method: DFT, PBE-GGA
State: relaxed

The structure belongs to space group F-43m (No. 216); the cell edges are 8.304, 8.304 and 8.304 Å and the angles 90.00°, 90.00° and 90.00°. The distinct sites, in fractional coordinates, are Li at (0.000, 0.000, 0.000), Cu at (0.126, 0.126, 0.626), Cu at (0.250, 0.250, 0.250), O at (0.115, 0.115, 0.385) and O at (0.137, 0.137, 0.863).

The total energy comes out at -279.46 eV/cell.

---

no.,total magnetic moment (μB per atom),DOS at the Fermi energy (states/eV/f.u.)
1,0.000,8.321
2,0.000,2.130
3,0.000,6.851
4,0.138,11.324
5,0.000,5.108
6,0.405,11.114